The following is a PBE calculation of a relaxed HgOs2Cl crystal, from the Alexandria database.

The structure in POSCAR format:
```
HgOs2Cl
1.0
5.5977 0.0000 0.0000
0.0000 9.8385 0.0000
-1.5009 0.0000 2.4815
Hg Os Cl
2 4 2
direct
0.0000 0.0000 0.0000
0.5000 0.5000 0.0000
0.2500 0.2500 0.0000
0.2500 0.7500 0.0000
0.7500 0.2500 0.0000
0.7500 0.7500 0.0000
0.0000 0.5000 0.0000
0.5000 0.0000 0.0000
```

Energy relative to the elements, uncorrected in eV/atom: 1.257
Relative energy among the computed polymorphs in meV per atom: 903
Total magnetic moment in μB/atom: 0.001
ρ in Mg/m³: 14.982
E in eV for the cell shown: -39.2